Record 1
Li2ZnGe: single point on PBEsol structure, meta-GGA SCAN.

Computed properties:
Its electronic total energy is -9.718 eV/atom.

a b c (Å): 4.2317 4.2317 8.1830
angles (deg): 90.00 90.00 120.00
With the nearest neighbours (Å) after each atom.
Element x y z (fractional)
Ge 0.6667 0.3333 0.2500  3 Zn 2.44, 2 Li 2.72
Ge 0.3333 0.6667 0.7500  3 Zn 2.44, 2 Li 2.72
Zn 0.0000 0.0000 0.2500  3 Ge 2.44
Zn 0.0000 0.0000 0.7500  3 Ge 2.44
Li 0.3333 0.6667 0.4173  4 Ge 2.72-2.80, 4 Li 2.74-2.79, 3 Zn 2.80
Li 0.6667 0.3333 0.9173  4 Ge 2.72-2.80, 4 Li 2.74-2.79, 3 Zn 2.80
Li 0.6667 0.3333 0.5827  4 Ge 2.72-2.80, 4 Li 2.74-2.79, 3 Zn 2.80
Li 0.3333 0.6667 0.0827  4 Ge 2.72-2.80, 4 Li 2.74-2.79, 3 Zn 2.80

---

Record 2
LaCrNi2Br: single point on PBEsol structure, meta-GGA SCAN.

Computed properties:
Its formation energy (no corrections) is 2.54 eV/f.u.

a b c (Å): 4.5341 4.5341 4.5596
angles (deg): 90.00 90.00 90.00
With the nearest neighbours (Å) after each atom.
Element x y z (fractional)
La 0.5000 0.5000 0.5000  4 Cr 3.21, 8 Ni 3.22
Ni 0.0000 0.5000 0.0000  2 Br 2.27
Ni 0.5000 0.0000 0.0000  2 Br 2.27
Cr 0.0000 0.0000 0.5000  2 Br 2.28
Br 0.0000 0.0000 0.0000  4 Ni 2.27, 2 Cr 2.28

---

Record 3
CrAgSnN2: single point on PBEsol structure, meta-GGA SCAN.

Computed properties:
Its formation energy (no corrections) is 9.14 eV/f.u.

a b c (Å): 3.9709 3.9709 5.5416
angles (deg): 90.00 90.00 90.00
With the nearest neighbours (Å) after each atom.
Element x y z (fractional)
Ag 0.0000 0.0000 0.0000  4 N 1.99
N 0.0000 0.5000 0.0000  2 Ag 1.99
N 0.5000 0.0000 0.0000  2 Ag 1.99
Cr 0.5000 0.5000 0.5000  4 Sn 2.81
Sn 0.0000 0.0000 0.5000  2 Ag 2.77, 4 Cr 2.81

---

Record 4
U4Ga12Pd: single point on PBEsol structure, meta-GGA SCAN.

Computed properties:
Its electronic total energy is -38.064 eV/atom.

a b c (Å): 7.3293 7.3293 7.3293
angles (deg): 109.47 109.47 109.47
With the nearest neighbours (Å) after each atom.
Element x y z (fractional)
Ga 0.0000 0.2957 0.2957  1 Pd 2.50, 4 Ga 2.73
Ga 0.5000 0.7500 0.2500  8 Ga 2.73-2.99, 4 U 2.99
Ga 0.2957 0.2957 0.0000  1 Pd 2.50, 4 Ga 2.73
Ga 0.2957 0.0000 0.2957  1 Pd 2.50, 4 Ga 2.73
Ga 0.0000 0.7043 0.7043  1 Pd 2.50, 4 Ga 2.73
Ga 0.7500 0.2500 0.5000  8 Ga 2.73-2.99, 4 U 2.99
Ga 0.7043 0.0000 0.7043  1 Pd 2.50, 4 Ga 2.73
Ga 0.7500 0.5000 0.2500  8 Ga 2.73-2.99, 4 U 2.99
Ga 0.7043 0.7043 0.0000  1 Pd 2.50, 4 Ga 2.73
Ga 0.2500 0.5000 0.7500  8 Ga 2.73-2.99, 4 U 2.99
Ga 0.2500 0.7500 0.5000  8 Ga 2.73-2.99, 4 U 2.99
Ga 0.5000 0.2500 0.7500  8 Ga 2.73-2.99, 4 U 2.99
Pd 0.0000 0.0000 0.0000  6 Ga 2.50
U 0.5000 0.0000 0.0000  12 Ga 2.99-3.02
U 0.5000 0.5000 0.5000  12 Ga 2.99-3.02
U 0.0000 0.0000 0.5000  12 Ga 2.99-3.02
U 0.0000 0.5000 0.0000  12 Ga 2.99-3.02

---

Copy entry 1 word for word.
Li2ZnGe: single point on PBEsol structure, meta-GGA SCAN.

Computed properties:
Its electronic total energy is -9.718 eV/atom.

a b c (Å): 4.2317 4.2317 8.1830
angles (deg): 90.00 90.00 120.00
With the nearest neighbours (Å) after each atom.
Element x y z (fractional)
Ge 0.6667 0.3333 0.2500  3 Zn 2.44, 2 Li 2.72
Ge 0.3333 0.6667 0.7500  3 Zn 2.44, 2 Li 2.72
Zn 0.0000 0.0000 0.2500  3 Ge 2.44
Zn 0.0000 0.0000 0.7500  3 Ge 2.44
Li 0.3333 0.6667 0.4173  4 Ge 2.72-2.80, 4 Li 2.74-2.79, 3 Zn 2.80
Li 0.6667 0.3333 0.9173  4 Ge 2.72-2.80, 4 Li 2.74-2.79, 3 Zn 2.80
Li 0.6667 0.3333 0.5827  4 Ge 2.72-2.80, 4 Li 2.74-2.79, 3 Zn 2.80
Li 0.3333 0.6667 0.0827  4 Ge 2.72-2.80, 4 Li 2.74-2.79, 3 Zn 2.80

---

> Which formula does entry 4 have?

U4Ga12Pd